AlAg2: relaxed, PBE.

Results
- Formation energy from the elements: -0.19 eV per formula unit
- Final energy: -3.21 eV per atom

Cell and atoms, written as CIF:
```
data_AlAg2
_chemical_formula_sum 'Al4 Ag8'
_space_group_name_H-M_alt 'C m c m'
_space_group_IT_number 63
_space_group_name_Hall '-C 2c 2'
_cell_length_a 8.830
_cell_length_b 4.987
_cell_length_c 4.620
_cell_angle_alpha 90.00
_cell_angle_beta 90.00
_cell_angle_gamma 90.00
loop_
_atom_site_label
_atom_site_type_symbol
_atom_site_fract_x
_atom_site_fract_y
_atom_site_fract_z
Al1 Al 0.000 0.183 0.250
Ag1 Ag 0.161 0.312 0.750
```